GdDyCdIn | Alexandria | PBE-GGA | relaxed; space-group type = F-43m, No. 216; calculated density = 8.51 Mg/m³; N(E_F) = 3.24 states/eV per cell; raw total energy = -6.0073 eV/atom
1.0
5.324 0.000 0.000
2.662 4.611 0.000
2.662 1.537 4.347
Gd In Dy Cd
1 1 1 1
direct
0.250 0.250 0.250
0.500 0.500 0.500
0.750 0.750 0.750
0.000 0.000 0.000